SrHoHgAu | PBE | relaxed

Computed properties:
The space group is No. 216. The formation energy is -0.56 eV/atom.

Lattice parameters (Å, degrees): 5.324 5.324 5.324 60.00 60.00 60.00
Positions (direct):
1 Sr 0.000 0.000 0.000
2 Ho 0.500 0.500 0.500
3 Hg 0.250 0.250 0.250
4 Au 0.750 0.750 0.750


TbHoHgAu | PBE | relaxed

Computed properties:
The space group is No. 216. The formation energy is -0.66 eV/atom. For the energy relative to the lowest polymorph listed for this composition, the calculation gives 13 meV per atom.

Lattice parameters (Å, degrees): 5.176 5.176 5.176 60.00 60.00 60.00
Positions (direct):
1 Tb 0.000 0.000 0.000
2 Ho 0.500 0.500 0.500
3 Hg 0.250 0.250 0.250
4 Au 0.750 0.750 0.750


TbHoHgAu | PBE | relaxed

Computed properties:
The space group is No. 99. The formation energy is -0.67 eV/atom. For the energy relative to the lowest polymorph listed for this composition, the calculation gives 0 meV per atom.

Lattice parameters (Å, degrees): 3.669 3.669 7.283 90.00 90.00 90.00
Positions (direct):
1 Tb 0.000 0.000 0.000
2 Ho 0.000 0.000 0.522
3 Hg 0.500 0.500 0.264
4 Au 0.500 0.500 0.755


Ho4TlHg2Au | PBE | relaxed

Computed properties:
The space group is No. 166. The formation energy is -0.53 eV/atom.

Lattice parameters (Å, degrees): 9.029 9.029 9.029 33.69 33.69 33.69
Positions (direct):
1 Ho 0.119 0.119 0.119
2 Ho 0.370 0.370 0.370
3 Ho 0.630 0.630 0.630
4 Ho 0.881 0.881 0.881
5 Tl 0.500 0.500 0.500
6 Hg 0.246 0.246 0.246
7 Hg 0.754 0.754 0.754
8 Au 0.000 0.000 0.000


HoTlHgAu | PBE | relaxed

Computed properties:
The space group is No. 216. The formation energy is -0.40 eV/atom.

Lattice parameters (Å, degrees): 5.096 5.096 5.096 60.00 60.00 60.00
Positions (direct):
1 Ho 0.000 0.000 0.000
2 Tl 0.500 0.500 0.500
3 Hg 0.750 0.750 0.750
4 Au 0.250 0.250 0.250


HoTmHgAu | PBE | relaxed

Computed properties:
The space group is No. 99. The formation energy is -0.68 eV/atom. For the energy relative to the lowest polymorph listed for this composition, the calculation gives 0 meV per atom.

Lattice parameters (Å, degrees): 3.643 3.643 7.200 90.00 90.00 90.00
Positions (direct):
1 Ho 0.000 0.000 0.000
2 Tm 0.000 0.000 0.522
3 Hg 0.500 0.500 0.265
4 Au 0.500 0.500 0.755


HoTmHgAu | PBE | relaxed

Computed properties:
The space group is No. 216. The formation energy is -0.67 eV/atom. For the energy relative to the lowest polymorph listed for this composition, the calculation gives 12 meV per atom.

Lattice parameters (Å, degrees): 5.132 5.132 5.132 60.00 60.00 60.00
Positions (direct):
1 Ho 0.000 0.000 0.000
2 Tm 0.500 0.500 0.500
3 Hg 0.250 0.250 0.250
4 Au 0.750 0.750 0.750


YHoHgAu | PBE | relaxed

Computed properties:
The space group is No. 216. The formation energy is -0.67 eV/atom. For the energy relative to the lowest polymorph listed for this composition, the calculation gives 13 meV per atom.

Lattice parameters (Å, degrees): 5.171 5.171 5.171 60.00 60.00 60.00
Positions (direct):
1 Y 0.000 0.000 0.000
2 Ho 0.500 0.500 0.500
3 Hg 0.750 0.750 0.750
4 Au 0.250 0.250 0.250


YHoHgAu | PBE | relaxed

Computed properties:
The space group is No. 99. The formation energy is -0.68 eV/atom. For the energy relative to the lowest polymorph listed for this composition, the calculation gives 0 meV per atom.

Lattice parameters (Å, degrees): 3.669 3.669 7.256 90.00 90.00 90.00
Positions (direct):
1 Y 0.000 0.000 0.000
2 Ho 0.000 0.000 0.521
3 Hg 0.500 0.500 0.264
4 Au 0.500 0.500 0.753


HoZrHgAu | PBE | relaxed

Computed properties:
The space group is No. 216. The formation energy is -0.42 eV/atom.

Lattice parameters (Å, degrees): 5.039 5.039 5.039 60.00 60.00 60.00
Positions (direct):
1 Ho 0.000 0.000 0.000
2 Zr 0.500 0.500 0.500
3 Hg 0.250 0.250 0.250
4 Au 0.750 0.750 0.750


Hg2Au2I | PBE | relaxed

Computed properties:
The space group is No. 127. The calculation puts the uncorrected formation energy at 161 meV per atom. For the energy relative to the lowest polymorph listed for this composition, the calculation gives 90 meV per atom.

Lattice parameters (Å, degrees): 7.856 7.856 3.998 90.00 90.00 90.00
Positions (direct):
1 Hg 0.169 0.331 0.000
2 Hg 0.331 0.831 0.000
3 Hg 0.669 0.169 0.000
4 Hg 0.831 0.669 0.000
5 Au 0.127 0.627 0.500
6 Au 0.373 0.127 0.500
7 Au 0.627 0.873 0.500
8 Au 0.873 0.373 0.500
9 I 0.000 0.000 0.500
10 I 0.500 0.500 0.500


Hg2Au2I | PBE | relaxed

Computed properties:
The space group is No. 127. The calculation puts the uncorrected formation energy at 145 meV per atom. For the energy relative to the lowest polymorph listed for this composition, the calculation gives 74 meV per atom.

Lattice parameters (Å, degrees): 9.330 9.330 2.895 90.00 90.00 90.00
Positions (direct):
1 Hg 0.194 0.306 0.000
2 Hg 0.306 0.806 0.000
3 Hg 0.694 0.194 0.000
4 Hg 0.806 0.694 0.000
5 Au 0.105 0.605 0.500
6 Au 0.395 0.105 0.500
7 Au 0.605 0.895 0.500
8 Au 0.895 0.395 0.500
9 I 0.000 0.000 0.000
10 I 0.500 0.500 0.000


| no. | electronic total energy (eV/cell) | magnetic moment (μB per formula unit) |
| --- | --- | --- |
| 1 | -12.09 | 0.00 |
| 2 | -15.42 | 0.00 |
| 3 | -15.48 | 0.00 |
| 4 | -28.83 | 0.00 |
| 5 | -12.11 | 0.00 |
| 6 | -15.36 | 0.00 |
| 7 | -15.31 | 0.00 |
| 8 | -17.30 | 0.00 |
| 9 | -17.35 | 0.00 |
| 10 | -18.39 | 0.83 |
| 11 | -15.81 | 0.00 |
| 12 | -15.97 | 0.00 |